First-principles (PBE-GGA) data for an optimized crystal structure of Rb2VCuI6, as listed in the Alexandria database.

Symmetry   No. 1
Final energy   -3.208 eV per atom
ΔE_f (raw)   -0.76 eV/atom
Size of the total moment   0.20 μB per atom
Energy relative to the lowest polymorph listed for this composition   0 meV per atom

Cell lengths 7.899, 7.912, 8.040 Å; angles 114.71, 104.52, 108.63 degrees
Positions (direct):
Rb: 0.000 0.000 0.000
Rb: 0.496 0.046 0.536
V: 0.754 0.530 0.268
Cu: 0.393 0.669 0.768
I: 0.006 0.535 0.587
I: 0.442 0.463 0.948
I: 0.487 0.520 0.466
I: 0.544 0.065 0.069
I: 0.931 0.957 0.467
I: 0.983 0.505 0.069



First-principles (PBE-GGA) data for an optimized crystal structure of NdHoAg, as listed in the Alexandria database.

Calculated formation energy   0.0694 eV per atom
Symmetry   No. 44
Final energy   -3.996 eV per atom
Size of the total moment   0.01 μB per atom
Energy relative to the lowest polymorph listed for this composition   232 meV per atom

Cell lengths 5.089, 5.101, 7.214 Å; angles 90.00, 90.00, 90.00 degrees
Positions (direct):
Nd: 0.000 0.000 0.000
Nd: 0.500 0.500 0.500
Ho: 0.000 0.000 0.500
Ho: 0.500 0.500 0.000
Ag: 0.000 0.500 0.750
Ag: 0.500 0.000 0.250



First-principles (PBE-GGA) data for an optimized crystal structure of TmAl2ZnPd4, as listed in the Alexandria database.

Calculated formation energy   -0.7877 eV per atom
Symmetry   No. 166
Final energy   -5.038 eV per atom
Size of the total moment   0.00 μB per atom

Cell lengths 7.941, 7.941, 7.941 Å; angles 32.61, 32.61, 32.61 degrees
Positions (direct):
Tm: 0.000 0.000 0.000
Al: 0.246 0.246 0.246
Al: 0.754 0.754 0.754
Zn: 0.500 0.500 0.500
Pd: 0.128 0.128 0.128
Pd: 0.388 0.388 0.388
Pd: 0.612 0.612 0.612
Pd: 0.872 0.872 0.872